1.
Compound: Y2SnC
Source: Alexandria via LeMat-Bulk
Functional: GGA-PBE
Structure: optimized geometry

Values from the calculation:
- calculated volume (Å³/atom) = 22.3
- SG = Fm-3m, No. 225
- spin magnetization (μB per atom) = 0.0000
- DFT formation energy (eV/atom) = 0.4704

a = 5.0175 Å, b = 5.0175 Å, c = 5.0175 Å
α = 60.00°, β = 60.00°, γ = 60.00°
Element x y z (fractional)
1 Y 0.2500 0.2500 0.2500
2 Y 0.7500 0.7500 0.7500
3 Sn 0.0000 0.0000 0.0000
4 C 0.5000 0.5000 0.5000

2.
Compound: Rb7SeCl5
Source: Alexandria via LeMat-Bulk
Functional: GGA-PBE
Structure: optimized geometry

Values from the calculation:
- calculated volume (Å³/atom) = 39.7
- E_form (uncorrected) (meV per atom) = -1723
- SG = Amm2, No. 38
- spin magnetization (μB per atom) = 0.0000

a = 27.5477 Å, b = 8.2006 Å, c = 8.2006 Å
α = 33.88°, β = 90.00°, γ = 90.00°
Element x y z (fractional)
1 Rb 0.0000 0.0000 0.0000
2 Rb 0.0704 0.7491 0.7491
3 Rb 0.1374 0.4660 0.4660
4 Rb 0.2134 0.1945 0.1945
5 Rb 0.2864 0.9256 0.9256
6 Rb 0.3624 0.6540 0.6540
7 Rb 0.4295 0.3708 0.3708
8 Rb 0.5000 0.1198 0.1198
9 Rb 0.5705 0.3708 0.3708
10 Rb 0.6376 0.6540 0.6540
11 Rb 0.7136 0.9256 0.9256
12 Rb 0.7866 0.1945 0.1945
13 Rb 0.8626 0.4660 0.4660
14 Rb 0.9296 0.7491 0.7491
15 Se 0.0000 0.3532 0.3532
16 Se 0.5000 0.7666 0.7666
17 Cl 0.1042 0.1022 0.1022
18 Cl 0.1779 0.8344 0.8344
19 Cl 0.2499 0.5601 0.5601
20 Cl 0.3219 0.2857 0.2857
21 Cl 0.3958 0.0174 0.0174
22 Cl 0.6042 0.0174 0.0174
23 Cl 0.6781 0.2857 0.2857
24 Cl 0.7501 0.5601 0.5601
25 Cl 0.8221 0.8344 0.8344
26 Cl 0.8958 0.1022 0.1022

3.
Compound: Li2TbBi
Source: Alexandria via LeMat-Bulk
Functional: GGA-PBE
Structure: optimized geometry

Values from the calculation:
- calculated volume (Å³/atom) = 24.4
- SG = P4/mmm, No. 123
- spin magnetization (μB per atom) = 0.0000
- DFT formation energy (eV/atom) = -0.4355

a = 4.4723 Å, b = 4.4723 Å, c = 4.8817 Å
α = 90.00°, β = 90.00°, γ = 90.00°
Element x y z (fractional)
1 Li 0.0000 0.5000 0.0000
2 Li 0.5000 0.0000 0.0000
3 Tb 0.0000 0.0000 0.5000
4 Bi 0.5000 0.5000 0.5000

4.
Compound: LaSbBr2
Source: Alexandria via LeMat-Bulk
Functional: GGA-PBE
Structure: optimized geometry

Values from the calculation:
- calculated volume (Å³/atom) = 30.0
- E_form (uncorrected) (meV per atom) = -724
- SG = F-43m, No. 216
- spin magnetization (μB per atom) = 0.4903
- offset from the most stable computed form (meV/atom) = 460

a = 5.5352 Å, b = 5.5352 Å, c = 5.5352 Å
α = 60.00°, β = 60.00°, γ = 60.00°
Element x y z (fractional)
1 La 0.0000 0.0000 0.0000
2 Sb 0.2500 0.2500 0.2500
3 Br 0.5000 0.5000 0.5000
4 Br 0.7500 0.7500 0.7500

5.
Compound: Ce2Bi3Au2
Source: Alexandria via LeMat-Bulk
Functional: GGA-PBE
Structure: optimized geometry

Values from the calculation:
- calculated volume (Å³/atom) = 29.2
- SG = C2/m, No. 12
- spin magnetization (μB per atom) = 0.2448
- DFT formation energy (eV/atom) = -0.4639

a = 8.9648 Å, b = 8.9648 Å, c = 5.3275 Å
α = 92.47°, β = 92.47°, γ = 28.56°
Element x y z (fractional)
1 Ce 0.1398 0.1398 0.3478
2 Ce 0.8602 0.8602 0.6522
3 Bi 0.3214 0.3214 0.1215
4 Bi 0.5000 0.5000 0.5000
5 Bi 0.6786 0.6786 0.8785
6 Au 0.0584 0.0584 0.8372
7 Au 0.9416 0.9416 0.1628

6.
Compound: SbMo2Pt
Source: Alexandria via LeMat-Bulk
Functional: GGA-PBE
Structure: optimized geometry

Values from the calculation:
- calculated volume (Å³/atom) = 16.9
- E_form (uncorrected) (meV per atom) = 86
- SG = Imm2, No. 44
- spin magnetization (μB per atom) = 0.0000

a = 5.1936 Å, b = 5.1936 Å, c = 5.1936 Å
α = 141.42°, β = 128.10°, γ = 66.50°
Element x y z (fractional)
1 Sb 0.0000 0.0000 0.0000
2 Mo 0.5006 0.5006 0.0000
3 Mo 0.7496 0.2496 0.5000
4 Pt 0.2337 0.7337 0.5000

7.
Compound: Na2AlGe2
Source: Alexandria via LeMat-Bulk
Functional: GGA-PBE
Structure: optimized geometry

Values from the calculation:
- calculated volume (Å³/atom) = 25.5
- SG = I4/mmm, No. 139
- spin magnetization (μB per atom) = 0.0000
- offset from the most stable computed form (meV/atom) = 365
- DFT formation energy (eV/atom) = 0.2470

a = 9.9567 Å, b = 9.9567 Å, c = 9.9567 Å
α = 158.93°, β = 158.93°, γ = 29.97°
Element x y z (fractional)
1 Na 0.1087 0.1087 0.0000
2 Na 0.8913 0.8913 0.0000
3 Al 0.5000 0.5000 0.0000
4 Ge 0.2500 0.7500 0.5000
5 Ge 0.7500 0.2500 0.5000

8.
Compound: TeSBr2
Source: Alexandria via LeMat-Bulk
Functional: GGA-PBE
Structure: optimized geometry

Values from the calculation:
- calculated volume (Å³/atom) = 32.4
- E_form (uncorrected) (meV per atom) = -132
- SG = Pnna, No. 52
- spin magnetization (μB per atom) = 0.0000
- offset from the most stable computed form (meV/atom) = 0

a = 7.1716 Å, b = 6.1585 Å, c = 11.7264 Å
α = 90.00°, β = 90.00°, γ = 90.00°
Element x y z (fractional)
1 Te 0.2500 0.0000 0.1190
2 Te 0.2500 0.5000 0.3810
3 Te 0.7500 0.0000 0.8810
4 Te 0.7500 0.5000 0.6190
5 S 0.0780 0.2500 0.2500
6 S 0.4220 0.7500 0.2500
7 S 0.5780 0.2500 0.7500
8 S 0.9220 0.7500 0.7500
9 Br 0.0667 0.2404 0.9051
10 Br 0.0667 0.2596 0.5949
11 Br 0.4333 0.7404 0.5949
12 Br 0.4333 0.7596 0.9051
13 Br 0.5667 0.2404 0.0949
14 Br 0.5667 0.2596 0.4051
15 Br 0.9333 0.7404 0.4051
16 Br 0.9333 0.7596 0.0949

9.
Compound: Tb3Dy8Ho
Source: Alexandria via LeMat-Bulk
Functional: GGA-PBE
Structure: optimized geometry

Values from the calculation:
- calculated volume (Å³/atom) = 37.4
- SG = I4/mmm, No. 139
- spin magnetization (μB per atom) = 0.0000
- DFT formation energy (eV/atom) = 0.7314

a = 9.3783 Å, b = 9.3783 Å, c = 9.3783 Å
α = 131.82°, β = 131.82°, γ = 70.52°
Element x y z (fractional)
1 Tb 0.0000 0.0000 0.0000
2 Tb 0.2500 0.7500 0.5000
3 Tb 0.7500 0.2500 0.5000
4 Dy 0.1255 0.1255 0.5006
5 Dy 0.1255 0.6249 0.0000
6 Dy 0.3751 0.3751 0.5006
7 Dy 0.3751 0.8745 0.0000
8 Dy 0.6249 0.1255 0.0000
9 Dy 0.6249 0.6249 0.4994
10 Dy 0.8745 0.3751 0.0000
11 Dy 0.8745 0.8745 0.4994
12 Ho 0.5000 0.5000 0.0000

10.
Compound: Tl2ZnCu2
Source: Alexandria via LeMat-Bulk
Functional: GGA-PBE
Structure: optimized geometry

Values from the calculation:
- calculated volume (Å³/atom) = 20.2
- SG = P4/mbm, No. 127
- spin magnetization (μB per atom) = 0.0000
- offset from the most stable computed form (meV/atom) = 127
- DFT formation energy (eV/atom) = 0.3592

a = 8.0457 Å, b = 8.0457 Å, c = 3.1248 Å
α = 90.00°, β = 90.00°, γ = 90.00°
Element x y z (fractional)
1 Tl 0.1844 0.3156 0.0000
2 Tl 0.3156 0.8156 0.0000
3 Tl 0.6844 0.1844 0.0000
4 Tl 0.8156 0.6844 0.0000
5 Zn 0.0000 0.0000 0.0000
6 Zn 0.5000 0.5000 0.0000
7 Cu 0.1096 0.6096 0.5000
8 Cu 0.3904 0.1096 0.5000
9 Cu 0.6096 0.8904 0.5000
10 Cu 0.8904 0.3904 0.5000

11.
Compound: Ba4Hg2F
Source: Alexandria via LeMat-Bulk
Functional: GGA-PBE
Structure: optimized geometry

Values from the calculation:
- calculated volume (Å³/atom) = 38.7
- E_form (uncorrected) (meV per atom) = -1031
- SG = I4/mmm, No. 139
- spin magnetization (μB per atom) = 0.0002

a = 9.7319 Å, b = 9.7319 Å, c = 9.7319 Å
α = 147.10°, β = 147.10°, γ = 47.22°
Element x y z (fractional)
1 Ba 0.0000 0.5000 0.5000
2 Ba 0.1856 0.1856 0.0000
3 Ba 0.5000 0.0000 0.5000
4 Ba 0.8144 0.8144 0.0000
5 Hg 0.3757 0.3757 0.0000
6 Hg 0.6243 0.6243 0.0000
7 F 0.0000 0.0000 0.0000

12.
Compound: Li2AcSi6
Source: Alexandria via LeMat-Bulk
Functional: GGA-PBE
Structure: optimized geometry

Values from the calculation:
- calculated volume (Å³/atom) = 19.7
- E_form (uncorrected) (meV per atom) = -160
- SG = Immm, No. 71
- spin magnetization (μB per atom) = 0.0000

a = 7.0883 Å, b = 7.0883 Å, c = 7.0883 Å
α = 148.26°, β = 103.54°, γ = 85.15°
Element x y z (fractional)
1 Li 0.1422 0.1422 0.0000
2 Li 0.8578 0.8578 0.0000
3 Ac 0.5000 0.0000 0.5000
4 Si 0.0909 0.3142 0.7767
5 Si 0.1328 0.5000 0.6328
6 Si 0.4625 0.6858 0.7767
7 Si 0.5375 0.3142 0.2233
8 Si 0.8672 0.5000 0.3672
9 Si 0.9091 0.6858 0.2233

13.
Compound: Ca2ScMo
Source: Alexandria via LeMat-Bulk
Functional: GGA-PBE
Structure: optimized geometry

Values from the calculation:
- calculated volume (Å³/atom) = 25.3
- SG = Cmmm, No. 65
- spin magnetization (μB per atom) = 0.0004
- offset from the most stable computed form (meV/atom) = 313
- DFT formation energy (eV/atom) = 0.6538

a = 3.0936 Å, b = 3.0936 Å, c = 10.7700 Å
α = 90.00°, β = 90.00°, γ = 100.83°
Element x y z (fractional)
1 Ca 0.0000 0.0000 0.2210
2 Ca 0.0000 0.0000 0.7790
3 Sc 0.5000 0.5000 0.5000
4 Mo 0.5000 0.5000 0.0000

14.
Compound: HoEr3Th
Source: Alexandria via LeMat-Bulk
Functional: GGA-PBE
Structure: optimized geometry

Values from the calculation:
- calculated volume (Å³/atom) = 35.3
- SG = P2_1/m, No. 11
- spin magnetization (μB per atom) = 0.0002
- offset from the most stable computed form (meV/atom) = 430
- DFT formation energy (eV/atom) = 0.4519

a = 5.6876 Å, b = 11.3679 Å, c = 6.1503 Å
α = 90.00°, β = 117.47°, γ = 90.00°
Element x y z (fractional)
1 Ho 0.1602 0.2500 0.3229
2 Ho 0.8398 0.7500 0.6771
3 Er 0.1605 0.7500 0.3192
4 Er 0.3467 0.0094 0.6944
5 Er 0.3467 0.4906 0.6944
6 Er 0.6533 0.5094 0.3056
7 Er 0.6533 0.9906 0.3056
8 Er 0.8395 0.2500 0.6808
9 Th 0.4732 0.7500 0.9437
10 Th 0.5268 0.2500 0.0563

15.
Compound: Ag3BrO
Source: Alexandria via LeMat-Bulk
Functional: GGA-PBE
Structure: optimized geometry

Values from the calculation:
- calculated volume (Å³/atom) = 19.4
- E_form (uncorrected) (meV per atom) = -79
- SG = Pm-3m, No. 221
- spin magnetization (μB per atom) = 0.0000
- offset from the most stable computed form (meV/atom) = 35

a = 4.5914 Å, b = 4.5914 Å, c = 4.5914 Å
α = 90.00°, β = 90.00°, γ = 90.00°
Element x y z (fractional)
1 Ag 0.0000 0.0000 0.5000
2 Ag 0.0000 0.5000 0.0000
3 Ag 0.5000 0.0000 0.0000
4 Br 0.5000 0.5000 0.5000
5 O 0.0000 0.0000 0.0000

16.
Compound: TiINF2
Source: Alexandria via LeMat-Bulk
Functional: GGA-PBE
Structure: optimized geometry

Values from the calculation:
- calculated volume (Å³/atom) = 19.1
- E_form (uncorrected) (meV per atom) = 395
- SG = P4/mmm, No. 123
- spin magnetization (μB per atom) = 0.4910
- offset from the most stable computed form (meV/atom) = 1605

a = 4.8221 Å, b = 4.8221 Å, c = 4.1143 Å
α = 90.00°, β = 90.00°, γ = 90.00°
Element x y z (fractional)
1 Ti 0.0000 0.0000 0.0000
2 I 0.5000 0.5000 0.5000
3 N 0.5000 0.5000 0.0000
4 F 0.0000 0.5000 0.5000
5 F 0.5000 0.0000 0.5000

17.
Compound: CaLa2InP
Source: Alexandria via LeMat-Bulk
Functional: GGA-PBE
Structure: optimized geometry

Values from the calculation:
- calculated volume (Å³/atom) = 34.2
- SG = P4/mmm, No. 123
- spin magnetization (μB per atom) = 0.0000
- DFT formation energy (eV/atom) = -0.6860

a = 5.6439 Å, b = 5.6439 Å, c = 5.3692 Å
α = 90.00°, β = 90.00°, γ = 90.00°
Element x y z (fractional)
1 Ca 0.0000 0.0000 0.0000
2 La 0.0000 0.5000 0.5000
3 La 0.5000 0.0000 0.5000
4 In 0.5000 0.5000 0.0000
5 P 0.0000 0.0000 0.5000

18.
Compound: CuBiTe3Pb
Source: Alexandria via LeMat-Bulk
Functional: GGA-PBE
Structure: optimized geometry

Values from the calculation:
- calculated volume (Å³/atom) = 31.9
- E_form (uncorrected) (meV per atom) = -201
- SG = P2_1/m, No. 11
- spin magnetization (μB per atom) = 0.0000

a = 9.3796 Å, b = 4.3657 Å, c = 9.5512 Å
α = 90.00°, β = 101.51°, γ = 90.00°
Element x y z (fractional)
1 Cu 0.0650 0.2500 0.0619
2 Cu 0.9350 0.7500 0.9381
3 Bi 0.3407 0.7500 0.3520
4 Bi 0.6593 0.2500 0.6480
5 Te 0.1036 0.2500 0.3609
6 Te 0.2223 0.7500 0.0116
7 Te 0.4236 0.7500 0.6800
8 Te 0.5764 0.2500 0.3200
9 Te 0.7777 0.2500 0.9884
10 Te 0.8964 0.7500 0.6391
11 Pb 0.1614 0.2500 0.7509
12 Pb 0.8386 0.7500 0.2491

19.
Compound: Sr2ZnCr
Source: Alexandria via LeMat-Bulk
Functional: GGA-PBE
Structure: optimized geometry

Values from the calculation:
- calculated volume (Å³/atom) = 31.2
- SG = P2/m, No. 10
- spin magnetization (μB per atom) = 1.2649
- DFT formation energy (eV/atom) = 0.3127

a = 3.9880 Å, b = 3.9089 Å, c = 8.0076 Å
α = 90.00°, β = 90.15°, γ = 90.00°
Element x y z (fractional)
1 Sr 0.0000 0.0000 0.2397
2 Sr 0.0000 0.0000 0.7603
3 Zn 0.5000 0.5000 0.0000
4 Cr 0.5000 0.5000 0.5000

20.
Compound: KTaIn2
Source: Alexandria via LeMat-Bulk
Functional: GGA-PBE
Structure: optimized geometry

Values from the calculation:
- calculated volume (Å³/atom) = 31.2
- SG = Imm2, No. 44
- spin magnetization (μB per atom) = 0.0000
- offset from the most stable computed form (meV/atom) = 205
- DFT formation energy (eV/atom) = 0.4420

a = 9.0157 Å, b = 9.0157 Å, c = 9.0157 Å
α = 161.28°, β = 147.87°, γ = 37.45°
Element x y z (fractional)
1 K 0.0000 0.0000 0.0000
2 Ta 0.2078 0.7078 0.5000
3 In 0.3544 0.3544 0.0000
4 In 0.6770 0.1770 0.5000

21.
Compound: Ho5Si2Ge5
Source: Alexandria via LeMat-Bulk
Functional: GGA-PBE
Structure: optimized geometry

Values from the calculation:
- calculated volume (Å³/atom) = 21.4
- E_form (uncorrected) (meV per atom) = -684
- SG = C2/m, No. 12
- spin magnetization (μB per atom) = 0.0000

a = 7.5737 Å, b = 7.5737 Å, c = 11.1602 Å
α = 127.51°, β = 127.51°, γ = 31.21°
Element x y z (fractional)
1 Ho 0.0000 0.0000 0.0000
2 Ho 0.1146 0.1146 0.4299
3 Ho 0.2072 0.2072 0.8398
4 Ho 0.7928 0.7928 0.1602
5 Ho 0.8854 0.8854 0.5701
6 Si 0.3593 0.3593 0.7416
7 Si 0.6407 0.6407 0.2584
8 Ge 0.2564 0.2564 0.3119
9 Ge 0.4368 0.4368 0.1579
10 Ge 0.5000 0.5000 0.5000
11 Ge 0.5632 0.5632 0.8421
12 Ge 0.7436 0.7436 0.6881

22.
Compound: CaLaHg2N
Source: Alexandria via LeMat-Bulk
Functional: GGA-PBE
Structure: optimized geometry

Values from the calculation:
- calculated volume (Å³/atom) = 38.3
- E_form (uncorrected) (meV per atom) = 1468
- SG = P4/mmm, No. 123
- spin magnetization (μB per atom) = 0.0000

a = 5.3222 Å, b = 5.3222 Å, c = 6.7627 Å
α = 90.00°, β = 90.00°, γ = 90.00°
Element x y z (fractional)
1 Ca 0.0000 0.0000 0.0000
2 La 0.0000 0.0000 0.5000
3 Hg 0.0000 0.5000 0.0000
4 Hg 0.5000 0.0000 0.0000
5 N 0.5000 0.5000 0.5000

23.
Compound: Pr10Er6Mg
Source: Alexandria via LeMat-Bulk
Functional: GGA-PBE
Structure: optimized geometry

Values from the calculation:
- calculated volume (Å³/atom) = 34.1
- SG = P-31m, No. 162
- spin magnetization (μB per atom) = 0.0000
- DFT formation energy (eV/atom) = 0.1202

a = 9.8371 Å, b = 9.8371 Å, c = 6.9086 Å
α = 90.00°, β = 90.00°, γ = 120.00°
Element x y z (fractional)
1 Pr 0.0000 0.2669 0.3177
2 Pr 0.0000 0.7331 0.6823
3 Pr 0.2669 0.0000 0.3177
4 Pr 0.2669 0.2669 0.6823
5 Pr 0.3333 0.6667 0.0000
6 Pr 0.3333 0.6667 0.5000
7 Pr 0.6667 0.3333 0.0000
8 Pr 0.6667 0.3333 0.5000
9 Pr 0.7331 0.0000 0.6823
10 Pr 0.7331 0.7331 0.3177
11 Er 0.0000 0.3701 0.8144
12 Er 0.0000 0.6299 0.1856
13 Er 0.3701 0.0000 0.8144
14 Er 0.3701 0.3701 0.1856
15 Er 0.6299 0.0000 0.1856
16 Er 0.6299 0.6299 0.8144
17 Mg 0.0000 0.0000 0.0000

24.
Compound: LaPrSm2Dy4
Source: Alexandria via LeMat-Bulk
Functional: GGA-PBE
Structure: optimized geometry

Values from the calculation:
- calculated volume (Å³/atom) = 33.2
- SG = C2/m, No. 12
- spin magnetization (μB per atom) = 0.0000
- DFT formation energy (eV/atom) = 0.0151

a = 7.2346 Å, b = 7.2346 Å, c = 12.4460 Å
α = 106.89°, β = 106.89°, γ = 60.02°
Element x y z (fractional)
1 La 0.0000 0.5000 0.0000
2 La 0.5000 0.0000 0.0000
3 Pr 0.0000 0.0000 0.0000
4 Pr 0.0000 0.0000 0.5000
5 Sm 0.0000 0.5000 0.5000
6 Sm 0.5000 0.0000 0.5000
7 Sm 0.5000 0.5000 0.0000
8 Sm 0.5000 0.5000 0.5000
9 Dy 0.2499 0.2499 0.7480
10 Dy 0.2497 0.7489 0.7484
11 Dy 0.2508 0.2508 0.2524
12 Dy 0.2511 0.7503 0.2516
13 Dy 0.7489 0.2497 0.7484
14 Dy 0.7492 0.7492 0.7476
15 Dy 0.7503 0.2511 0.2516
16 Dy 0.7501 0.7501 0.2520